The following is a DFT calculation (PBE) of a relaxed LiTb3Ce2Se6 crystal.

Computed properties:
The total energy is -5.81 eV per atom. The calculated volume comes out at 24.7 Å³ per atom.

Geometry as POSCAR:
```
LiTb3Ce2Se6
1.0
3.559 -6.176 0.000
3.559 6.176 0.000
-2.394 0.000 6.743
Li Tb Ce Se
1 3 2 6
Direct
0.000 0.000 0.000
0.168 0.832 0.500
0.500 0.500 0.500
0.832 0.168 0.500
0.335 0.665 0.000
0.665 0.335 0.000
0.083 0.406 0.252
0.238 0.238 0.748
0.406 0.083 0.252
0.594 0.917 0.748
0.762 0.762 0.252
0.917 0.594 0.748
```

***

The following is a DFT calculation (PBE) of a relaxed Li3Tb2CeSe6 crystal.

Computed properties:
The total energy is -5.15 eV per atom. The calculated volume comes out at 24.0 Å³ per atom.

Geometry as POSCAR:
```
Li3Tb2CeSe6
1.0
3.578 -6.200 0.000
3.578 6.200 0.000
-2.379 0.000 6.501
Li Tb Ce Se
3 2 1 6
Direct
0.000 0.000 0.000
0.331 0.669 0.000
0.669 0.331 0.000
0.166 0.834 0.500
0.834 0.166 0.500
0.500 0.500 0.500
0.075 0.415 0.245
0.245 0.245 0.757
0.415 0.075 0.245
0.585 0.925 0.755
0.755 0.755 0.243
0.925 0.585 0.755
```

***

The following is a DFT calculation (PBE) of a relaxed LiTb3Ce3Se8 crystal.

Computed properties:
The total energy is -5.87 eV per atom. The calculated volume comes out at 26.5 Å³ per atom.

Geometry as POSCAR:
```
LiTb3Ce3Se8
1.0
7.129 -4.111 0.000
7.129 4.111 0.000
-4.760 0.000 6.773
Li Tb Ce Se
1 3 3 8
Direct
0.000 0.000 0.000
0.000 0.500 0.000
0.500 0.000 0.000
0.500 0.500 0.000
0.000 0.000 0.500
0.000 0.500 0.500
0.500 0.000 0.500
0.246 0.246 0.241
0.246 0.749 0.241
0.251 0.754 0.759
0.253 0.253 0.760
0.747 0.747 0.240
0.749 0.246 0.241
0.754 0.251 0.759
0.754 0.754 0.759
```

***

The following is a DFT calculation (PBE) of a relaxed Li3TbCe2Se6 crystal.

Computed properties:
The total energy is -5.22 eV per atom. The calculated volume comes out at 24.5 Å³ per atom.

Geometry as POSCAR:
```
Li3TbCe2Se6
1.0
3.615 -6.265 0.000
3.615 6.265 0.000
-2.405 0.000 6.496
Li Tb Ce Se
3 1 2 6
Direct
0.000 0.000 0.000
0.337 0.663 0.000
0.663 0.337 0.000
0.500 0.500 0.500
0.167 0.833 0.500
0.833 0.167 0.500
0.087 0.414 0.242
0.258 0.258 0.756
0.414 0.087 0.242
0.586 0.913 0.758
0.742 0.742 0.244
0.913 0.586 0.758
```

***

The following is a DFT calculation (PBE) of a relaxed LiTb4Ce3Se8 crystal.

Computed properties:
The total energy is -5.90 eV per atom. The calculated volume comes out at 24.9 Å³ per atom.

Geometry as POSCAR:
```
LiTb4Ce3Se8
1.0
4.126 2.382 6.766
-4.126 2.382 6.766
0.000 -4.764 6.766
Li Tb Ce Se
1 4 3 8
Direct
0.000 0.000 0.000
0.000 0.000 0.500
0.000 0.500 0.000
0.500 0.000 0.000
0.500 0.500 0.500
0.000 0.500 0.500
0.500 0.000 0.500
0.500 0.500 0.000
0.240 0.754 0.754
0.246 0.246 0.760
0.246 0.760 0.246
0.247 0.247 0.247
0.753 0.753 0.753
0.754 0.240 0.754
0.754 0.754 0.240
0.760 0.246 0.246
```

***

The following is a DFT calculation (PBE) of a relaxed LiCe2ThSe6 crystal.

Computed properties:
The total energy is -5.52 eV per atom. The calculated volume comes out at 31.2 Å³ per atom.

Geometry as POSCAR:
```
LiCe2ThSe6
1.0
6.678 0.000 0.000
0.000 6.678 0.000
0.000 0.000 6.991
Li Ce Th Se
1 2 1 6
Direct
0.000 0.000 0.000
0.000 0.500 0.456
0.500 0.000 0.456
0.500 0.500 0.034
0.000 0.000 0.639
0.237 0.237 0.213
0.237 0.763 0.213
0.500 0.500 0.624
0.763 0.237 0.213
0.763 0.763 0.213
```

***

The following is a DFT calculation (PBE) of a relaxed LiCe2ThSe5 crystal.

Computed properties:
The total energy is -5.94 eV per atom. The calculated volume comes out at 25.6 Å³ per atom.

Geometry as POSCAR:
```
LiCe2ThSe5
1.0
2.083 -8.759 0.000
2.083 8.759 0.000
0.000 0.000 12.630
Li Ce Th Se
2 4 2 10
Direct
0.015 0.985 0.500
0.985 0.015 0.000
0.376 0.624 0.327
0.392 0.608 0.712
0.608 0.392 0.212
0.624 0.376 0.827
0.302 0.698 0.031
0.698 0.302 0.531
0.002 0.998 0.805
0.135 0.865 0.026
0.188 0.812 0.368
0.211 0.789 0.695
0.455 0.545 0.094
0.545 0.455 0.594
0.789 0.211 0.195
0.812 0.188 0.868
0.865 0.135 0.526
0.998 0.002 0.305
```

***

The following is a DFT calculation (PBE) of a relaxed LiCeTh2Se4 crystal.

Computed properties:
The total energy is -6.16 eV per atom. The calculated volume comes out at 25.3 Å³ per atom.

Geometry as POSCAR:
```
LiCeTh2Se4
1.0
7.161 0.000 0.000
0.000 4.119 0.000
-2.333 0.000 6.863
Li Ce Th Se
1 1 2 4
Direct
0.000 0.000 0.000
0.500 0.500 0.000
0.000 0.500 0.500
0.500 0.000 0.500
0.235 0.500 0.234
0.242 0.000 0.762
0.758 0.000 0.238
0.765 0.500 0.766
```

***

The following is a DFT calculation (PBE) of a relaxed LiCe3Th2Se6 crystal.

Computed properties:
The total energy is -6.29 eV per atom. The calculated volume comes out at 25.8 Å³ per atom.

Geometry as POSCAR:
```
LiCe3Th2Se6
1.0
9.109 -2.088 0.000
9.109 2.088 0.000
-1.971 0.000 8.129
Li Ce Th Se
1 3 2 6
Direct
0.000 0.000 0.000
0.000 0.000 0.500
0.332 0.332 0.165
0.668 0.668 0.835
0.332 0.332 0.662
0.668 0.668 0.338
0.159 0.159 0.081
0.165 0.165 0.587
0.499 0.499 0.761
0.501 0.501 0.239
0.835 0.835 0.413
0.841 0.841 0.919
```

***

The following is a DFT calculation (PBE) of a relaxed Li2CeThSe4 crystal.

Computed properties:
The total energy is -5.43 eV per atom. The calculated volume comes out at 24.6 Å³ per atom.

Geometry as POSCAR:
```
Li2CeThSe4
1.0
7.008 0.000 0.000
0.000 4.150 0.000
-2.453 0.000 6.771
Li Ce Th Se
2 1 1 4
Direct
0.000 0.000 0.000
0.000 0.500 0.500
0.500 0.000 0.500
0.500 0.500 0.000
0.234 0.000 0.747
0.236 0.500 0.242
0.764 0.500 0.758
0.766 0.000 0.253
```

***

The following is a DFT calculation (PBE) of a relaxed Li3Ce2ThSe6 crystal.

Computed properties:
The total energy is -5.39 eV per atom. The calculated volume comes out at 24.8 Å³ per atom.

Geometry as POSCAR:
```
Li3Ce2ThSe6
1.0
3.623 -6.274 0.000
3.623 6.274 0.000
-2.416 0.000 6.546
Li Ce Th Se
3 2 1 6
Direct
0.000 0.000 0.000
0.335 0.665 0.000
0.665 0.335 0.000
0.167 0.833 0.500
0.833 0.167 0.500
0.500 0.500 0.500
0.083 0.412 0.236
0.258 0.258 0.762
0.412 0.083 0.236
0.588 0.917 0.764
0.742 0.742 0.238
0.917 0.588 0.764
```

***

The following is a DFT calculation (PBE) of a relaxed LiCe2ThSe4 crystal.

Computed properties:
The total energy is -6.04 eV per atom. The calculated volume comes out at 25.5 Å³ per atom.

Geometry as POSCAR:
```
LiCe2ThSe4
1.0
7.215 0.000 0.000
0.000 4.154 0.000
-2.381 0.000 6.814
Li Ce Th Se
1 2 1 4
Direct
0.000 0.000 0.000
0.500 0.000 0.500
0.500 0.500 0.000
0.000 0.500 0.500
0.237 0.500 0.238
0.242 0.000 0.760
0.758 0.000 0.240
0.763 0.500 0.762
```

***

The following is a DFT calculation (PBE) of a relaxed Li3CeTh2Se6 crystal.

Computed properties:
The total energy is -5.47 eV per atom. The calculated volume comes out at 24.5 Å³ per atom.

Geometry as POSCAR:
```
Li3CeTh2Se6
1.0
3.575 -6.193 0.000
3.575 6.193 0.000
-2.384 0.000 6.633
Li Ce Th Se
3 1 2 6
Direct
0.000 0.000 0.000
0.332 0.668 0.000
0.668 0.332 0.000
0.500 0.500 0.500
0.167 0.833 0.500
0.833 0.167 0.500
0.075 0.411 0.233
0.253 0.253 0.768
0.411 0.075 0.233
0.589 0.925 0.767
0.747 0.747 0.232
0.925 0.589 0.767
```

***

The following is a DFT calculation (PBE) of a relaxed LiCe4Th3Se8 crystal.

Computed properties:
The total energy is -6.41 eV per atom. The calculated volume comes out at 25.8 Å³ per atom.

Geometry as POSCAR:
```
LiCe4Th3Se8
1.0
4.179 2.412 6.830
-4.179 2.412 6.830
0.000 -4.825 6.830
Li Ce Th Se
1 4 3 8
Direct
0.000 0.000 0.000
0.000 0.000 0.500
0.000 0.500 0.000
0.500 0.000 0.000
0.500 0.500 0.500
0.000 0.500 0.500
0.500 0.000 0.500
0.500 0.500 0.000
0.240 0.759 0.759
0.241 0.241 0.760
0.241 0.760 0.241
0.249 0.249 0.249
0.751 0.751 0.751
0.759 0.240 0.759
0.759 0.759 0.240
0.760 0.241 0.241
```

***

The following is a DFT calculation (PBE) of a relaxed LiCe3Th4Se8 crystal.

Computed properties:
The total energy is -6.47 eV per atom. The calculated volume comes out at 25.7 Å³ per atom.

Geometry as POSCAR:
```
LiCe3Th4Se8
1.0
4.159 2.401 6.875
-4.159 2.401 6.875
0.000 -4.802 6.875
Li Ce Th Se
1 3 4 8
Direct
0.000 0.000 0.000
0.000 0.500 0.500
0.500 0.000 0.500
0.500 0.500 0.000
0.000 0.000 0.500
0.000 0.500 0.000
0.500 0.000 0.000
0.500 0.500 0.500
0.240 0.240 0.758
0.240 0.758 0.240
0.242 0.760 0.760
0.251 0.251 0.251
0.749 0.749 0.749
0.758 0.240 0.240
0.760 0.242 0.760
0.760 0.760 0.242
```

***

The following is a DFT calculation (PBE) of a relaxed LiCeThSe3 crystal.

Computed properties:
The total energy is -5.84 eV per atom. The calculated volume comes out at 25.2 Å³ per atom.

Geometry as POSCAR:
```
LiCeThSe3
1.0
8.744 0.000 0.000
0.000 4.000 0.000
-2.252 0.000 8.647
Li Ce Th Se
2 2 2 6
Direct
0.085 0.250 0.087
0.915 0.750 0.913
0.185 0.250 0.724
0.815 0.750 0.276
0.348 0.750 0.353
0.652 0.250 0.647
0.093 0.250 0.370
0.214 0.750 0.003
0.426 0.750 0.704
0.574 0.250 0.296
0.786 0.250 0.997
0.907 0.750 0.630
```

***

The following is a DFT calculation (PBE) of a relaxed Li3Ce3TiSe8 crystal.

Computed properties:
The total energy is -5.44 eV per atom. The calculated volume comes out at 25.2 Å³ per atom.

Geometry as POSCAR:
```
Li3Ce3TiSe8
1.0
6.876 -4.117 0.000
6.876 4.117 0.000
-4.407 0.000 6.670
Li Ce Ti Se
3 3 1 8
Direct
0.000 0.000 0.000
0.000 0.500 0.500
0.500 0.000 0.500
0.000 0.500 0.000
0.500 0.000 0.000
0.500 0.500 0.500
0.000 0.000 0.500
0.224 0.768 0.732
0.232 0.776 0.268
0.233 0.233 0.725
0.245 0.245 0.255
0.755 0.755 0.745
0.767 0.767 0.275
0.768 0.224 0.732
0.776 0.232 0.268
```

***

The following is a DFT calculation (PBE) of a relaxed LiCe3Tl3Se8 crystal.

Computed properties:
The total energy is -4.84 eV per atom. The calculated volume comes out at 31.3 Å³ per atom.

Geometry as POSCAR:
```
LiCe3Tl3Se8
1.0
4.215 2.434 7.638
-4.215 2.434 7.638
0.000 -4.867 7.638
Li Ce Tl Se
1 3 3 8
Direct
0.000 0.000 0.000
0.000 0.500 0.500
0.500 0.000 0.500
0.500 0.500 0.000
0.000 0.000 0.500
0.000 0.500 0.000
0.500 0.000 0.000
0.237 0.237 0.726
0.237 0.726 0.237
0.263 0.263 0.263
0.274 0.763 0.763
0.726 0.237 0.237
0.737 0.737 0.737
0.763 0.274 0.763
0.763 0.763 0.274
```

***

The following is a DFT calculation (PBE) of a relaxed LiCe2Tl2Se6 crystal.

Computed properties:
The total energy is -4.69 eV per atom. The calculated volume comes out at 30.9 Å³ per atom.

Geometry as POSCAR:
```
LiCe2Tl2Se6
1.0
3.590 -6.460 0.000
3.590 6.460 0.000
-2.358 0.000 7.323
Li Ce Tl Se
1 2 2 6
Direct
0.000 0.000 0.000
0.337 0.663 0.000
0.663 0.337 0.000
0.162 0.838 0.500
0.838 0.162 0.500
0.063 0.421 0.217
0.255 0.255 0.802
0.421 0.063 0.217
0.579 0.937 0.783
0.745 0.745 0.198
0.937 0.579 0.783
```

***

The following is a DFT calculation (PBE) of a relaxed LiCe2Tl3Se6 crystal.

Computed properties:
The total energy is -4.63 eV per atom. The calculated volume comes out at 29.6 Å³ per atom.

Geometry as POSCAR:
```
LiCe2Tl3Se6
1.0
3.659 -6.346 0.000
3.659 6.346 0.000
-2.406 0.000 7.651
Li Ce Tl Se
1 2 3 6
Direct
0.000 0.000 0.000
0.333 0.667 0.000
0.667 0.333 0.000
0.163 0.837 0.500
0.500 0.500 0.500
0.837 0.163 0.500
0.069 0.414 0.208
0.275 0.275 0.800
0.414 0.069 0.208
0.586 0.931 0.792
0.725 0.725 0.200
0.931 0.586 0.792
```